{"formula": "MgTc2Os", "functional": "PBE-GGA", "state": "optimized geometry", "lattice_angstrom": [[-1.955, -6.526, 6.231], [0.806, -6.931, 6.046], [-0.209, -4.978, 7.773]], "species": ["Os", "Tc", "Tc", "Mg"], "fractional_positions": [[0.750, 0.750, 0.750], [0.495, 0.495, 0.495], [0.005, 0.005, 0.005], [0.250, 0.250, 0.250]], "delta_e_f_ev_per_atom": 0.196, "dos_at_fermi_per_ev_atom": 1.20}


{"formula": "KAlCdCl6", "functional": "PBE-GGA", "state": "optimized geometry", "lattice_angstrom": [[-2.650, -4.969, 3.421], [6.313, -0.284, -1.868], [3.748, 6.085, 11.741]], "species": ["Cl", "Cl", "Cl", "Cl", "Cl", "Cl", "Cl", "Cl", "Cl", "Cl", "Cl", "Cl", "K", "K", "Cd", "Cd", "Al", "Al"], "fractional_positions": [[0.035, 0.648, 0.851], [0.613, 0.648, 0.649], [0.648, 0.035, 0.351], [0.035, 0.387, 0.649], [0.352, 0.965, 0.649], [0.387, 0.035, 0.149], [0.965, 0.613, 0.351], [0.648, 0.613, 0.149], [0.613, 0.965, 0.851], [0.352, 0.387, 0.851], [0.965, 0.352, 0.149], [0.387, 0.352, 0.351], [0.000, 0.000, 0.500], [0.000, 0.000, 0.000], [0.333, 0.667, 0.250], [0.667, 0.333, 0.750], [0.333, 0.667, 0.750], [0.667, 0.333, 0.250]], "dos_at_fermi_per_ev_atom": 0.00, "formation_energy_uncorrected_mev_per_atom": -1486}


{"formula": "PPtCl2", "functional": "PBE-GGA", "state": "optimized geometry", "lattice_angstrom": [[7.774, 0.075, -0.011], [6.164, 4.737, 0.011], [-7.082, -2.079, 2.442]], "species": ["Cl", "Cl", "Pt", "P"], "fractional_positions": [[0.400, 0.400, 0.000], [0.100, 0.100, 0.000], [0.250, 0.750, 0.500], [0.750, 0.250, 0.500]], "dos_at_fermi_per_ev_atom": 0.86, "de_polymorph_mev_per_atom": 764, "formation_energy_uncorrected_mev_per_atom": 188}


{"formula": "LiAcPmNi", "functional": "PBE-GGA", "state": "optimized geometry", "lattice_angstrom": [[5.225, 0.000, 0.000], [2.612, 4.525, 0.000], [2.612, 1.508, 4.266]], "species": ["Ni", "Ac", "Pm", "Li"], "fractional_positions": [[0.000, 0.000, 0.000], [0.750, 0.750, 0.750], [0.250, 0.250, 0.250], [0.500, 0.500, 0.500]], "delta_e_f_ev_per_atom": 0.000, "dos_at_fermi_per_ev_atom": 0.63}


{"formula": "Sc12Ga3Si5", "functional": "PBE-GGA", "state": "optimized geometry", "lattice_angstrom": [[-10.335, -4.496, 7.945], [12.019, -4.259, 5.248], [-0.199, 13.781, -0.438]], "species": ["Ga", "Ga", "Ga", "Ga", "Ga", "Ga", "Ga", "Ga", "Ga", "Ga", "Ga", "Ga", "Sc", "Sc", "Sc", "Sc", "Sc", "Sc", "Sc", "Sc", "Sc", "Sc", "Sc", "Sc", "Sc", "Sc", "Sc", "Sc", "Sc", "Sc", "Sc", "Sc", "Sc", "Sc", "Sc", "Sc", "Sc", "Sc", "Sc", "Sc", "Sc", "Sc", "Sc", "Sc", "Sc", "Sc", "Sc", "Sc", "Sc", "Sc", "Sc", "Sc", "Sc", "Sc", "Sc", "Sc", "Sc", "Sc", "Sc", "Sc", "Si", "Si", "Si", "Si", "Si", "Si", "Si", "Si", "Si", "Si", "Si", "Si", "Si", "Si", "Si", "Si", "Si", "Si", "Si", "Si"], "fractional_positions": [[0.250, 0.125, 0.375], [0.375, 0.625, 0.250], [0.125, 0.250, 0.875], [0.250, 0.625, 0.875], [0.625, 0.375, 0.750], [0.750, 0.875, 0.625], [0.750, 0.375, 0.125], [0.125, 0.875, 0.750], [0.875, 0.750, 0.125], [0.625, 0.250, 0.375], [0.875, 0.125, 0.250], [0.375, 0.750, 0.625], [0.419, 0.370, 0.589], [0.670, 0.219, 0.589], [0.049, 0.419, 0.830], [0.589, 0.719, 0.670], [0.451, 0.781, 0.870], [0.089, 0.170, 0.219], [0.911, 0.081, 0.630], [0.719, 0.589, 0.170], [0.081, 0.911, 0.130], [0.719, 0.130, 0.049], [0.870, 0.281, 0.451], [0.830, 0.911, 0.281], [0.781, 0.330, 0.911], [0.830, 0.919, 0.049], [0.581, 0.951, 0.670], [0.081, 0.170, 0.451], [0.951, 0.581, 0.170], [0.281, 0.411, 0.830], [0.049, 0.630, 0.719], [0.330, 0.549, 0.419], [0.670, 0.451, 0.581], [0.130, 0.411, 0.081], [0.919, 0.089, 0.870], [0.130, 0.719, 0.549], [0.219, 0.670, 0.089], [0.419, 0.049, 0.330], [0.549, 0.219, 0.130], [0.581, 0.630, 0.411], [0.089, 0.919, 0.370], [0.411, 0.130, 0.581], [0.451, 0.670, 0.081], [0.781, 0.451, 0.370], [0.219, 0.549, 0.630], [0.630, 0.581, 0.911], [0.170, 0.081, 0.951], [0.330, 0.781, 0.411], [0.630, 0.049, 0.219], [0.589, 0.870, 0.419], [0.170, 0.089, 0.719], [0.549, 0.330, 0.919], [0.370, 0.419, 0.089], [0.411, 0.281, 0.330], [0.911, 0.830, 0.781], [0.951, 0.370, 0.281], [0.281, 0.870, 0.951], [0.370, 0.951, 0.781], [0.870, 0.589, 0.919], [0.919, 0.830, 0.549], [0.250, 0.375, 0.625], [0.375, 0.125, 0.750], [0.000, 0.000, 0.000], [0.500, 0.500, 0.000], [0.750, 0.125, 0.875], [0.000, 0.000, 0.500], [0.500, 0.500, 0.500], [0.125, 0.375, 0.250], [0.625, 0.750, 0.875], [0.000, 0.500, 0.000], [0.125, 0.750, 0.375], [0.375, 0.250, 0.125], [0.000, 0.500, 0.500], [0.500, 0.000, 0.500], [0.500, 0.000, 0.000], [0.875, 0.625, 0.750], [0.875, 0.250, 0.625], [0.250, 0.875, 0.125], [0.625, 0.875, 0.250], [0.750, 0.625, 0.375]], "dos_at_fermi_per_ev_atom": 0.69, "formation_energy_uncorrected_mev_per_atom": -112}


{"formula": "SrYAl2Cl", "functional": "PBE-GGA", "state": "optimized geometry", "lattice_angstrom": [[5.769, 0.000, 0.000], [0.000, 5.192, 0.000], [0.000, 0.000, 5.769]], "species": ["Al", "Al", "Cl", "Sr", "Y"], "fractional_positions": [[0.500, 0.000, 0.000], [0.000, 0.000, 0.500], [0.000, 0.500, 0.000], [0.500, 0.500, 0.500], [0.000, 0.000, 0.000]], "dos_at_fermi_per_ev_atom": 1.04, "formation_energy_uncorrected_mev_per_atom": -117}


{"formula": "Ag2Pd2Pb", "functional": "PBE-GGA", "state": "optimized geometry", "lattice_angstrom": [[-4.008, 1.538, 1.459], [0.065, -4.099, -1.936], [0.928, -2.374, 5.055]], "species": ["Ag", "Ag", "Pd", "Pd", "Pb"], "fractional_positions": [[0.828, 0.172, 0.500], [0.172, 0.828, 0.500], [0.500, 0.500, 0.257], [0.500, 0.500, 0.743], [0.000, 0.000, 0.000]], "delta_e_f_ev_per_atom": 0.018, "dos_at_fermi_per_ev_atom": 0.37, "de_polymorph_mev_per_atom": 55}


{"formula": "Li2ScGa", "functional": "PBE-GGA", "state": "optimized geometry", "lattice_angstrom": [[-3.888, 0.240, -2.612], [-0.582, -3.930, 0.505], [-2.163, 0.743, 3.288]], "species": ["Li", "Li", "Sc", "Ga"], "fractional_positions": [[0.000, 0.500, 0.000], [0.000, 0.000, 0.500], [0.500, 0.000, 0.000], [0.500, 0.500, 0.500]], "delta_e_f_ev_per_atom": -0.168, "dos_at_fermi_per_ev_atom": 1.26}


Which formula does entry 4 have?
LiAcPmNi